Below is crystalline Na5CaAl5FeSi12O36 at its relaxed geometry, with properties calculated at the PBE+U level.

Cell: 6.491 6.491 15.800 Å, 100.84 100.64 95.32°
Site moments in Bohr magnetons follow the coordinates.
Fractional coordinates of all 60 atoms:
O  0.373  0.261  0.581  0.00
O  0.652  0.101  0.749  0.00
O  0.102  0.921  0.523  0.02
O  0.099  0.222  0.849  0.00
O  0.899  0.608  0.987  0.00
O  0.346  0.065  0.418  0.00
Si  0.199  0.438  0.827  0.00
O  0.647  0.928  0.582  0.00
Si  0.389  0.468  0.664  0.00
Al  0.912  0.575  0.672  0.00
O  0.345  0.728  0.085  0.00
Na  0.696  0.867  0.164  0.00
Na  0.298  0.298  0.000  0.00
O  0.031  0.940  0.124  0.00
O  0.680  0.792  0.419  0.00
O  0.808  0.566  0.548  0.02
O  0.378  0.920  0.823  0.00
O  0.816  0.907  0.876  0.00
Na  0.301  0.629  0.332  0.00
O  0.398  0.579  0.477  0.02
Si  0.197  0.122  0.493  0.01
Si  0.193  0.774  0.157  0.00
Al  0.904  0.240  0.328  0.00
Si  0.617  0.036  0.843  0.00
Si  0.802  0.391  0.008  0.00
Si  0.804  0.054  0.678  0.00
O  0.097  0.555  0.177  0.00
O  0.621  0.912  0.013  0.00
Al  0.097  0.928  0.836  0.00
Si  0.804  0.725  0.336  0.00
O  0.620  0.240  0.348  0.00
O  0.347  0.378  0.753  0.00
O  0.892  0.273  0.652  0.00
O  0.191  0.598  0.639  0.02
Si  0.629  0.704  0.507  0.01
O  0.959  0.551  0.361  0.02
Na  0.297  0.969  0.668  0.00
O  0.374  0.250  0.151  0.00
Si  0.611  0.373  0.173  0.00
O  0.352  0.903  0.251  0.00
Si  0.377  0.127  0.322  0.00
O  0.183  0.923  0.959  0.00
O  0.630  0.584  0.689  0.00
Al  0.093  0.262  0.164  0.00
O  0.182  0.257  0.289  0.00
O  0.643  0.260  0.915  0.00
O  0.360  0.570  0.919  0.00
O  0.809  0.242  0.205  0.00
Na  0.702  0.532  0.836  0.00
Ca  0.700  0.200  0.500  0.00
O  0.019  0.261  0.452  0.02
O  0.037  0.604  0.795  0.00
Fe  0.102  0.602  0.500  3.77
O  0.625  0.594  0.247  0.00
Al  0.902  0.902  0.000  0.00
O  0.964  0.224  0.041  0.00
O  0.895  0.941  0.311  0.00
Si  0.382  0.794  0.992  0.00
O  0.651  0.441  0.081  0.00
O  0.968  0.892  0.711  0.00

Output
Size of the total moment, μB per formula unit: 4.00
Uncorrected energy, eV per atom: -7.33